Record 1
First-principles (PBE) data for crystalline CsMgInF4 at its relaxed geometry, as listed in Alexandria via LeMat-Bulk.

The space group is P2_1/m (No. 11) and the conventional cell measures 6.431, 6.301 and 8.206 Å, with angles of 90.00, 106.80 and 90.00 degrees. Symmetry generates all atoms from Cs at (0.227, 0.250, 0.065), Mg at (0.488, 0.250, 0.701), In at (0.172, 0.750, 0.573), F at (0.220, 0.750, 0.167), F at (0.351, 0.011, 0.770) and F at (0.480, 0.250, 0.468).

As for the energy: -4.54 eV per atom. As for the crystal system: monoclinic.

Record 2
First-principles (PBE) data for crystalline CrCoRe2 at its relaxed geometry, as listed in Alexandria via LeMat-Bulk.

The space group is Fm-3m (No. 225) and the conventional cell measures 5.955, 5.955 and 5.955 Å, with angles of 90.00, 90.00 and 90.00 degrees. Symmetry generates all atoms from Cr at (0.000, 0.000, 0.000), Co at (0.000, 0.000, 0.500) and Re at (0.250, 0.250, 0.250).

As for the crystal system: cubic. Its formation energy is 0.822 eV per formula unit. Its energy above the most stable polymorph in this dataset is 159 meV per atom.

Record 3
First-principles (PBE) data for crystalline Pm3Er6Tm at its relaxed geometry, as listed in Alexandria via LeMat-Bulk.

The space group is Cmc2_1 (No. 36) and the conventional cell measures 10.959, 18.860 and 6.231 Å, with angles of 90.00, 90.00 and 90.00 degrees. Symmetry generates all atoms from Pm at (0.000, 0.110, 0.000), Pm at (0.172, 0.389, 0.606), Er at (0.000, 0.222, 0.425), Er at (0.000, 0.455, 0.163), Er at (0.165, 0.047, 0.526), Er at (0.246, 0.210, 0.700) and Tm at (0.000, 0.296, 0.928).

As for the crystal system: orthorhombic. Its formation energy is 1.508 eV per formula unit. Its energy above the most stable polymorph in this dataset is 0 meV per atom.

Record 4
First-principles (PBE) data for crystalline YCrSn at its relaxed geometry, as listed in Alexandria via LeMat-Bulk.

The space group is C2/m (No. 12) and the conventional cell measures 10.733, 4.491 and 7.310 Å, with angles of 90.00, 131.04 and 90.00 degrees. Symmetry generates all atoms from Y at (0.060, 0.000, 0.313), Cr at (0.113, 0.500, 0.066) and Sn at (0.186, 0.500, 0.757).

As for the crystal system: monoclinic. Its formation energy is -0.557 eV per formula unit.

Record 5
First-principles (PBE) data for crystalline TiFeRu2C at its relaxed geometry, as listed in Alexandria via LeMat-Bulk.

The space group is P4/mmm (No. 123) and the conventional cell measures 4.022, 4.022 and 3.786 Å, with angles of 90.00, 90.00 and 90.00 degrees. Symmetry generates all atoms from Ti at (0.000, 0.000, 0.000), Fe at (0.500, 0.500, 0.000), Ru at (0.000, 0.500, 0.500) and C at (0.500, 0.500, 0.500).

As for the crystal system: tetragonal. Its formation energy is -1.096 eV per formula unit.

Record 6
First-principles (PBE) data for crystalline KHIrAuCl at its relaxed geometry, as listed in Alexandria via LeMat-Bulk.

The space group is Pm (No. 6) and the conventional cell measures 4.531, 2.853 and 8.261 Å, with angles of 90.00, 104.46 and 90.00 degrees. Symmetry generates all atoms from K at (0.000, 0.000, 0.000), H at (0.603, 0.500, 0.229), Ir at (0.663, 0.000, 0.363), Au at (0.186, 0.500, 0.414) and Cl at (0.420, 0.500, 0.825).

As for the crystal system: monoclinic. Its energy above the most stable polymorph in this dataset is 145 meV per atom.